Below is a relaxed Pm5NdTm12 crystal, with properties calculated at the PBE level.

- SG = C2/m, No. 12
- ΔE_f (kJ/mol of formula units) = 38.8
- total magnetization (Bohr magnetons per cell) = 0.00
- volume (Å³/cell) = 565.0
- final energy (eV/atom) = -4.54

a = 10.616 Å, b = 10.616 Å, c = 6.134 Å
α = 106.57°, β = 106.57°, γ = 59.93°
Element x y z (fractional)
Pm1 0.000 0.000 0.000
Pm2 0.167 0.167 0.500
Pm3 0.333 0.333 0.000
Pm4 0.667 0.667 0.000
Pm5 0.833 0.833 0.500
Nd1 0.500 0.500 0.500
Tm1 0.001 0.665 0.000
Tm2 0.165 0.502 0.500
Tm3 0.168 0.832 0.500
Tm4 0.332 0.668 0.000
Tm5 0.335 0.999 0.000
Tm6 0.498 0.835 0.500
Tm7 0.502 0.165 0.500
Tm8 0.665 0.001 0.000
Tm9 0.668 0.332 0.000
Tm10 0.832 0.168 0.500
Tm11 0.835 0.498 0.500
Tm12 0.999 0.335 0.000

***

Below is a relaxed Pm7Nd2Tm3 crystal, with properties calculated at the PBE level.

- SG = P2/m, No. 10
- ΔE to the lowest computed polymorph (kJ/mol of formula units) = 24
- ΔE_f (kJ/mol of formula units) = 101.1
- total magnetization (Bohr magnetons per cell) = 0.00
- volume (Å³/cell) = 404.9
- final energy (eV/atom) = -4.60

a = 5.869 Å, b = 3.634 Å, c = 19.033 Å
α = 90.00°, β = 93.93°, γ = 90.00°
Element x y z (fractional)
Pm1 0.000 0.000 0.000
Pm2 0.174 0.500 0.180
Pm3 0.259 0.500 0.536
Pm4 0.329 0.000 0.857
Pm5 0.671 0.000 0.143
Pm6 0.741 0.500 0.464
Pm7 0.826 0.500 0.820
Nd1 0.296 0.500 0.703
Nd2 0.704 0.500 0.297
Tm1 0.218 0.000 0.370
Tm2 0.500 0.500 0.000
Tm3 0.782 0.000 0.630

***

Below is a relaxed Pm6NdTm4 crystal, with properties calculated at the PBE level.

- SG = Cmcm, No. 63
- ΔE to the lowest computed polymorph (kJ/mol of formula units) = 0
- ΔE_f (kJ/mol of formula units) = 117.5
- total magnetization (Bohr magnetons per cell) = 0.00
- volume (Å³/cell) = 728.7
- final energy (eV/atom) = -4.54

a = 5.650 Å, b = 5.650 Å, c = 25.875 Å
α = 90.00°, β = 90.00°, γ = 118.08°
Element x y z (fractional)
Pm1 0.000 0.000 0.000
Pm2 0.000 0.000 0.500
Pm3 0.041 0.959 0.750
Pm4 0.305 0.695 0.099
Pm5 0.305 0.695 0.401
Pm6 0.370 0.630 0.681
Pm7 0.370 0.630 0.819
Pm8 0.630 0.370 0.181
Pm9 0.630 0.370 0.319
Pm10 0.695 0.305 0.599
Pm11 0.695 0.305 0.901
Pm12 0.959 0.041 0.250
Nd1 0.296 0.704 0.250
Nd2 0.704 0.296 0.750
Tm1 0.036 0.964 0.623
Tm2 0.036 0.964 0.877
Tm3 0.347 0.653 0.544
Tm4 0.347 0.653 0.956
Tm5 0.653 0.347 0.044
Tm6 0.653 0.347 0.456
Tm7 0.964 0.036 0.123
Tm8 0.964 0.036 0.377

***

Below is a relaxed PmNd2Tm9 crystal, with properties calculated at the PBE level.

- SG = P4/mmm, No. 123
- ΔE to the lowest computed polymorph (kJ/mol of formula units) = 0
- ΔE_f (kJ/mol of formula units) = 32.4
- total magnetization (Bohr magnetons per cell) = 0.00
- volume (Å³/cell) = 374.4
- final energy (eV/atom) = -4.52

a = 4.997 Å, b = 4.997 Å, c = 14.991 Å
α = 90.00°, β = 90.00°, γ = 90.00°
Element x y z (fractional)
Pm1 0.000 0.000 0.000
Nd1 0.000 0.000 0.333
Nd2 0.000 0.000 0.667
Tm1 0.000 0.500 0.166
Tm2 0.000 0.500 0.500
Tm3 0.000 0.500 0.834
Tm4 0.500 0.000 0.166
Tm5 0.500 0.000 0.500
Tm6 0.500 0.000 0.834
Tm7 0.500 0.500 0.000
Tm8 0.500 0.500 0.333
Tm9 0.500 0.500 0.667

***

Below is a relaxed Pm5Nd2Tm5 crystal, with properties calculated at the PBE level.

- SG = C2/m, No. 12
- ΔE_f (kJ/mol of formula units) = 23.1
- total magnetization (Bohr magnetons per cell) = 0.00
- volume (Å³/cell) = 391.5
- final energy (eV/atom) = -4.62

a = 8.024 Å, b = 8.024 Å, c = 11.356 Å
α = 115.12°, β = 115.12°, γ = 36.79°
Element x y z (fractional)
Pm1 0.000 0.000 0.000
Pm2 0.086 0.086 0.751
Pm3 0.166 0.166 0.499
Pm4 0.834 0.834 0.501
Pm5 0.914 0.914 0.249
Nd1 0.417 0.417 0.752
Nd2 0.583 0.583 0.248
Tm1 0.250 0.250 0.248
Tm2 0.331 0.331 0.999
Tm3 0.500 0.500 0.500
Tm4 0.669 0.669 0.001
Tm5 0.750 0.750 0.752

***

Below is a relaxed Pm2Nd8Tm crystal, with properties calculated at the PBE level.

- SG = C2/m, No. 12
- ΔE to the lowest computed polymorph (kJ/mol of formula units) = 0
- ΔE_f (kJ/mol of formula units) = 126.4
- total magnetization (Bohr magnetons per cell) = 0.00
- volume (Å³/cell) = 384.8
- final energy (eV/atom) = -4.62

a = 6.809 Å, b = 6.809 Å, c = 9.426 Å
α = 103.83°, β = 103.83°, γ = 66.76°
Element x y z (fractional)
Pm1 0.142 0.142 0.133
Pm2 0.858 0.858 0.867
Nd1 0.217 0.651 0.226
Nd2 0.309 0.309 0.502
Nd3 0.317 0.317 0.870
Nd4 0.349 0.783 0.774
Nd5 0.651 0.217 0.226
Nd6 0.683 0.683 0.130
Nd7 0.691 0.691 0.498
Nd8 0.783 0.349 0.774
Tm1 0.000 0.000 0.500

***

Below is a relaxed Pm5Nd12Tm2 crystal, with properties calculated at the PBE level.

- SG = C2/m, No. 12
- ΔE to the lowest computed polymorph (kJ/mol of formula units) = 0
- ΔE_f (kJ/mol of formula units) = 223.6
- total magnetization (Bohr magnetons per cell) = 0.00
- volume (Å³/cell) = 666.9
- final energy (eV/atom) = -4.61

a = 9.390 Å, b = 9.390 Å, c = 8.087 Å
α = 92.84°, β = 92.84°, γ = 69.53°
Element x y z (fractional)
Pm1 0.000 0.000 0.000
Pm2 0.242 0.242 0.981
Pm3 0.343 0.343 0.411
Pm4 0.657 0.657 0.589
Pm5 0.758 0.758 0.019
Nd1 0.041 0.587 0.707
Nd2 0.129 0.129 0.601
Nd3 0.169 0.619 0.114
Nd4 0.381 0.831 0.886
Nd5 0.413 0.959 0.293
Nd6 0.448 0.448 0.791
Nd7 0.552 0.552 0.209
Nd8 0.587 0.041 0.707
Nd9 0.619 0.169 0.114
Nd10 0.831 0.381 0.886
Nd11 0.871 0.871 0.399
Nd12 0.959 0.413 0.293
Tm1 0.269 0.731 0.500
Tm2 0.731 0.269 0.500

***

Below is a relaxed Pm4Nd3Tm3 crystal, with properties calculated at the PBE level.

- SG = Amm2, No. 38
- ΔE_f (kJ/mol of formula units) = 85.6
- total magnetization (Bohr magnetons per cell) = 0.00
- volume (Å³/cell) = 338.4
- final energy (eV/atom) = -4.58

a = 3.803 Å, b = 9.433 Å, c = 9.433 Å
α = 90.22°, β = 90.00°, γ = 90.00°
Element x y z (fractional)
Pm1 0.000 0.000 0.000
Pm2 0.000 0.254 0.254
Pm3 0.000 0.501 0.760
Pm4 0.000 0.760 0.501
Nd1 0.000 0.123 0.632
Nd2 0.000 0.632 0.123
Nd3 0.500 0.459 0.459
Tm1 0.500 0.296 0.958
Tm2 0.500 0.799 0.799
Tm3 0.500 0.958 0.296

***

Below is a relaxed Pm2Nd7Tm3 crystal, with properties calculated at the PBE level.

- SG = P2/m, No. 10
- ΔE to the lowest computed polymorph (kJ/mol of formula units) = 229
- ΔE_f (kJ/mol of formula units) = 331.9
- total magnetization (Bohr magnetons per cell) = 0.00
- volume (Å³/cell) = 430.4
- final energy (eV/atom) = -4.40

a = 6.252 Å, b = 5.500 Å, c = 12.517 Å
α = 90.00°, β = 90.10°, γ = 90.00°
Element x y z (fractional)
Pm1 0.101 0.000 0.279
Pm2 0.899 0.000 0.721
Nd1 0.056 0.500 0.819
Nd2 0.259 0.000 0.545
Nd3 0.419 0.000 0.829
Nd4 0.500 0.500 0.000
Nd5 0.581 0.000 0.171
Nd6 0.741 0.000 0.455
Nd7 0.944 0.500 0.181
Tm1 0.000 0.000 0.000
Tm2 0.435 0.500 0.346
Tm3 0.565 0.500 0.654

***

Below is a relaxed Pm7Nd2Tm2 crystal, with properties calculated at the PBE level.

- SG = P-1, No. 2
- ΔE to the lowest computed polymorph (kJ/mol of formula units) = 0
- ΔE_f (kJ/mol of formula units) = 17.7
- total magnetization (Bohr magnetons per cell) = 0.00
- volume (Å³/cell) = 370.8
- final energy (eV/atom) = -4.69

a = 6.271 Å, b = 6.292 Å, c = 9.590 Å
α = 89.84°, β = 83.70°, γ = 80.36°
Element x y z (fractional)
Pm1 0.000 0.000 0.000
Pm2 0.094 0.818 0.634
Pm3 0.180 0.635 0.276
Pm4 0.453 0.090 0.185
Pm5 0.547 0.910 0.815
Pm6 0.820 0.365 0.724
Pm7 0.906 0.182 0.366
Nd1 0.274 0.455 0.907
Nd2 0.726 0.545 0.093
Tm1 0.366 0.272 0.544
Tm2 0.634 0.728 0.456

***

Below is a relaxed Pm5Nd4Tm2 crystal, with properties calculated at the PBE level.

- SG = Immm, No. 71
- ΔE to the lowest computed polymorph (kJ/mol of formula units) = 160
- ΔE_f (kJ/mol of formula units) = 259.8
- total magnetization (Bohr magnetons per cell) = 0.00
- volume (Å³/cell) = 387.4
- final energy (eV/atom) = -4.46

a = 12.672 Å, b = 12.672 Å, c = 12.672 Å
α = 164.00°, β = 136.22°, γ = 46.90°
Element x y z (fractional)
Pm1 0.000 0.000 0.000
Pm2 0.054 0.348 0.706
Pm3 0.358 0.652 0.706
Pm4 0.642 0.348 0.294
Pm5 0.946 0.652 0.294
Nd1 0.297 0.500 0.797
Nd2 0.404 0.904 0.500
Nd3 0.596 0.096 0.500
Nd4 0.703 0.500 0.203
Tm1 0.270 0.770 0.500
Tm2 0.730 0.230 0.500

***

Below is a relaxed PmNd2Tm2 crystal, with properties calculated at the PBE level.

- SG = Fddd, No. 70
- ΔE to the lowest computed polymorph (kJ/mol of formula units) = 222
- ΔE_f (kJ/mol of formula units) = 235.8
- total magnetization (Bohr magnetons per cell) = 0.00
- volume (Å³/cell) = 375.7
- final energy (eV/atom) = -4.16

a = 12.636 Å, b = 11.610 Å, c = 6.454 Å
α = 83.57°, β = 65.93°, γ = 30.50°
Element x y z (fractional)
Pm1 0.125 0.125 0.125
Pm2 0.875 0.875 0.875
Nd1 0.214 0.536 0.214
Nd2 0.464 0.786 0.464
Nd3 0.536 0.214 0.536
Nd4 0.786 0.464 0.786
Tm1 0.000 0.000 0.000
Tm2 0.000 0.000 0.500
Tm3 0.000 0.500 0.000
Tm4 0.500 0.000 0.000

***

Below is a relaxed Pm2Nd2Tm crystal, with properties calculated at the PBE level.

- SG = Imma, No. 74
- ΔE to the lowest computed polymorph (kJ/mol of formula units) = 2
- ΔE_f (kJ/mol of formula units) = 66.3
- total magnetization (Bohr magnetons per cell) = 0.00
- volume (Å³/cell) = 342.8
- final energy (eV/atom) = -4.56

a = 16.484 Å, b = 16.484 Å, c = 16.484 Å
α = 167.27°, β = 159.68°, γ = 24.05°
Element x y z (fractional)
Pm1 0.043 0.293 0.750
Pm2 0.442 0.192 0.250
Pm3 0.558 0.808 0.750
Pm4 0.957 0.707 0.250
Nd1 0.131 0.881 0.250
Nd2 0.229 0.979 0.250
Nd3 0.771 0.021 0.750
Nd4 0.869 0.119 0.750
Tm1 0.329 0.579 0.750
Tm2 0.671 0.421 0.250

***

Below is a relaxed Pm15NdTm4 crystal, with properties calculated at the PBE level.

- SG = P4/mmm, No. 123
- ΔE_f (kJ/mol of formula units) = 26.5
- total magnetization (Bohr magnetons per cell) = 0.00
- volume (Å³/cell) = 669.5
- final energy (eV/atom) = -4.68

a = 5.122 Å, b = 5.122 Å, c = 25.518 Å
α = 90.00°, β = 90.00°, γ = 90.00°
Element x y z (fractional)
Pm1 0.000 0.000 0.000
Pm2 0.000 0.000 0.202
Pm3 0.000 0.000 0.400
Pm4 0.000 0.000 0.600
Pm5 0.000 0.000 0.798
Pm6 0.000 0.500 0.102
Pm7 0.000 0.500 0.301
Pm8 0.000 0.500 0.500
Pm9 0.000 0.500 0.699
Pm10 0.000 0.500 0.898
Pm11 0.500 0.000 0.102
Pm12 0.500 0.000 0.301
Pm13 0.500 0.000 0.500
Pm14 0.500 0.000 0.699
Pm15 0.500 0.000 0.898
Nd1 0.500 0.500 0.000
Tm1 0.500 0.500 0.202
Tm2 0.500 0.500 0.401
Tm3 0.500 0.500 0.599
Tm4 0.500 0.500 0.798

***

Below is a relaxed PmNd4Tm3 crystal, with properties calculated at the PBE level.

- SG = Pmn2_1, No. 31
- ΔE to the lowest computed polymorph (kJ/mol of formula units) = 8
- ΔE_f (kJ/mol of formula units) = 21.9
- total magnetization (Bohr magnetons per cell) = 0.00
- volume (Å³/cell) = 535.1
- final energy (eV/atom) = -4.63

a = 11.573 Å, b = 7.327 Å, c = 6.310 Å
α = 90.00°, β = 90.00°, γ = 90.00°
Element x y z (fractional)
Pm1 0.000 0.125 0.000
Pm2 0.500 0.875 0.500
Nd1 0.000 0.370 0.504
Nd2 0.000 0.630 0.990
Nd3 0.245 0.626 0.333
Nd4 0.255 0.374 0.833
Nd5 0.500 0.370 0.490
Nd6 0.500 0.630 0.004
Nd7 0.745 0.374 0.833
Nd8 0.755 0.626 0.333
Tm1 0.000 0.881 0.497
Tm2 0.250 0.120 0.331
Tm3 0.250 0.880 0.831
Tm4 0.500 0.119 0.997
Tm5 0.750 0.120 0.331
Tm6 0.750 0.880 0.831

***

Below is a relaxed PmNd3Tm crystal, with properties calculated at the PBE level.

- SG = Cmcm, No. 63
- ΔE to the lowest computed polymorph (kJ/mol of formula units) = 97
- ΔE_f (kJ/mol of formula units) = 160.6
- total magnetization (Bohr magnetons per cell) = 0.00
- volume (Å³/cell) = 355.2
- final energy (eV/atom) = -4.37

a = 8.144 Å, b = 8.144 Å, c = 6.190 Å
α = 90.00°, β = 90.00°, γ = 120.12°
Element x y z (fractional)
Pm1 0.201 0.799 0.750
Pm2 0.799 0.201 0.250
Nd1 0.000 0.000 0.000
Nd2 0.000 0.000 0.500
Nd3 0.200 0.402 0.750
Nd4 0.402 0.200 0.250
Nd5 0.598 0.800 0.750
Nd6 0.800 0.598 0.250
Tm1 0.331 0.669 0.250
Tm2 0.669 0.331 0.750

***

Below is a relaxed Pm4Nd3Tm4 crystal, with properties calculated at the PBE level.

- SG = Immm, No. 71
- ΔE to the lowest computed polymorph (kJ/mol of formula units) = 0
- ΔE_f (kJ/mol of formula units) = 20.3
- total magnetization (Bohr magnetons per cell) = 0.00
- volume (Å³/cell) = 362.3
- final energy (eV/atom) = -4.63

a = 20.028 Å, b = 20.028 Å, c = 20.028 Å
α = 169.66°, β = 165.45°, γ = 17.88°
Element x y z (fractional)
Pm1 0.046 0.046 0.000
Pm2 0.317 0.317 0.000
Pm3 0.683 0.683 0.000
Pm4 0.954 0.954 0.000
Nd1 0.137 0.137 0.000
Nd2 0.500 0.500 0.000
Nd3 0.863 0.863 0.000
Tm1 0.228 0.228 0.000
Tm2 0.408 0.408 0.000
Tm3 0.592 0.592 0.000
Tm4 0.772 0.772 0.000

***

Below is a relaxed PmNd10Tm4 crystal, with properties calculated at the PBE level.

- SG = I4/m, No. 87
- ΔE_f (kJ/mol of formula units) = 637.9
- total magnetization (Bohr magnetons per cell) = 0.00
- volume (Å³/cell) = 541.7
- final energy (eV/atom) = -4.25

a = 8.906 Å, b = 8.906 Å, c = 8.906 Å
α = 111.59°, β = 111.59°, γ = 105.31°
Element x y z (fractional)
Pm1 0.000 0.000 0.000
Nd1 0.051 0.396 0.108
Nd2 0.057 0.949 0.345
Nd3 0.250 0.750 0.500
Nd4 0.288 0.943 0.892
Nd5 0.396 0.288 0.345
Nd6 0.604 0.712 0.655
Nd7 0.712 0.057 0.108
Nd8 0.750 0.250 0.500
Nd9 0.943 0.051 0.655
Nd10 0.949 0.604 0.892
Tm1 0.224 0.445 0.668
Tm2 0.445 0.776 0.221
Tm3 0.555 0.224 0.779
Tm4 0.776 0.555 0.332

***

Below is a relaxed Pm12NdTm7 crystal, with properties calculated at the PBE level.

- SG = R-3m, No. 166
- ΔE to the lowest computed polymorph (kJ/mol of formula units) = 0
- ΔE_f (kJ/mol of formula units) = 192.4
- total magnetization (Bohr magnetons per cell) = 2.90
- volume (Å³/cell) = 663.3
- final energy (eV/atom) = -4.55

a = 8.822 Å, b = 8.822 Å, c = 8.822 Å
α = 98.21°, β = 98.21°, γ = 98.21°
Element x y z (fractional)
Pm1 0.000 0.263 0.737
Pm2 0.000 0.737 0.263
Pm3 0.142 0.142 0.409
Pm4 0.142 0.409 0.142
Pm5 0.263 0.000 0.737
Pm6 0.263 0.737 0.000
Pm7 0.409 0.142 0.142
Pm8 0.591 0.858 0.858
Pm9 0.737 0.000 0.263
Pm10 0.737 0.263 0.000
Pm11 0.858 0.591 0.858
Pm12 0.858 0.858 0.591
Nd1 0.500 0.500 0.500
Tm1 0.000 0.000 0.000
Tm2 0.161 0.599 0.599
Tm3 0.401 0.401 0.839
Tm4 0.401 0.839 0.401
Tm5 0.599 0.161 0.599
Tm6 0.599 0.599 0.161
Tm7 0.839 0.401 0.401